Record 1
## Ca3CdP (PBE)

Data for a geometry-optimized Ca3CdP structure.

Output
- total magnetization (μB/atom) = 0.000
- raw total energy (eV per atom) = -2.998

a = 13.094 Å, b = 9.471 Å, c = 9.471 Å
α = 86.50°, β = 125.92°, γ = 54.08°
Fractional coordinates of all 20 atoms:
P (0.750, 0.205, 0.705)
P (0.250, 0.795, 0.295)
P (0.750, 0.508, 0.008)
P (0.250, 0.492, 0.992)
Ca (0.494, 0.201, 0.448)
Ca (0.006, 0.948, 0.701)
Ca (0.506, 0.799, 0.552)
Ca (0.994, 0.052, 0.299)
Ca (0.987, 0.239, 0.959)
Ca (0.513, 0.459, 0.739)
Ca (0.013, 0.761, 0.041)
Ca (0.487, 0.541, 0.261)
Ca (0.628, 0.900, 0.937)
Ca (0.872, 0.437, 0.400)
Ca (0.372, 0.100, 0.063)
Ca (0.128, 0.563, 0.600)
Cd (0.156, 0.319, 0.365)
Cd (0.344, 0.865, 0.819)
Cd (0.844, 0.681, 0.635)
Cd (0.656, 0.135, 0.181)



Record 2
## Ca3CdP (PBE)

Data for a geometry-optimized Ca3CdP structure.

Output
- total magnetization (μB/atom) = 0.135
- raw total energy (eV per atom) = -2.769

a = 4.807 Å, b = 4.807 Å, c = 17.728 Å
α = 90.00°, β = 90.00°, γ = 120.00°
Site moments in Bohr magnetons follow the coordinates.
Fractional coordinates of all 10 atoms:
P (0.000, 0.000, 0.000)  0.02
P (0.000, 0.000, 0.500)  0.02
Ca (0.000, 0.000, 0.250)  0.06
Ca (0.000, 0.000, 0.750)  0.06
Ca (0.333, 0.667, 0.931)  0.03
Ca (0.333, 0.667, 0.569)  0.03
Ca (0.667, 0.333, 0.431)  0.02
Ca (0.667, 0.333, 0.069)  0.02
Cd (0.333, 0.667, 0.750)  0.07
Cd (0.667, 0.333, 0.250)  0.06



Record 3
## Ca3CdP (PBE)

Data for a geometry-optimized Ca3CdP structure.

Output
- total magnetization (μB/atom) = 0.000
- raw total energy (eV per atom) = -2.929

a = 10.112 Å, b = 10.112 Å, c = 10.112 Å
α = 60.00°, β = 60.00°, γ = 60.00°
Fractional coordinates of all 20 atoms:
P (0.125, 0.125, 0.125)
P (0.125, 0.625, 0.125)
P (0.625, 0.125, 0.125)
P (0.125, 0.125, 0.625)
Ca (0.784, 0.216, 0.216)
Ca (0.034, 0.466, 0.466)
Ca (0.466, 0.466, 0.034)
Ca (0.466, 0.034, 0.034)
Ca (0.034, 0.466, 0.034)
Ca (0.784, 0.216, 0.784)
Ca (0.466, 0.034, 0.466)
Ca (0.034, 0.034, 0.466)
Ca (0.216, 0.784, 0.216)
Ca (0.216, 0.784, 0.784)
Ca (0.216, 0.216, 0.784)
Ca (0.784, 0.784, 0.216)
Cd (0.625, 0.625, 0.625)
Cd (0.625, 0.125, 0.625)
Cd (0.125, 0.625, 0.625)
Cd (0.625, 0.625, 0.125)



Record 4
## CaCdP2 (PBE)

Data for a geometry-optimized CaCdP2 structure.

Output
- total magnetization (μB/atom) = 0.000
- raw total energy (eV per atom) = -3.578

a = 3.448 Å, b = 3.448 Å, c = 7.122 Å
α = 90.00°, β = 90.00°, γ = 89.99°
Fractional coordinates of all 4 atoms:
Ca (0.000, 0.000, 0.462)
Cd (0.500, 0.500, 0.785)
P (0.000, 0.000, 0.079)
P (0.500, 0.500, 0.175)



Record 5
## CaCdP2 (PBE)

Data for a geometry-optimized CaCdP2 structure.

Output
- total magnetization (μB/atom) = 0.000
- raw total energy (eV per atom) = -3.904

a = 6.053 Å, b = 6.053 Å, c = 4.100 Å
α = 71.74°, β = 71.74°, γ = 40.33°
Fractional coordinates of all 4 atoms:
Ca (0.452, 0.452, 0.660)
Cd (0.191, 0.191, 0.382)
P (0.029, 0.029, 0.057)
P (0.828, 0.828, 0.401)



Record 6
## CaCdP2 (PBE)

Data for a geometry-optimized CaCdP2 structure.

Output
- total magnetization (μB/atom) = 0.000
- raw total energy (eV per atom) = -3.854

a = 3.960 Å, b = 4.194 Å, c = 5.674 Å
α = 93.21°, β = 90.00°, γ = 90.00°
Fractional coordinates of all 4 atoms:
Ca (0.500, 0.250, 0.250)
Cd (0.500, 0.750, 0.750)
P (0.000, 0.678, 0.059)
P (0.000, 0.822, 0.441)



Record 7
## Ca4CdP (PBE)

Data for a geometry-optimized Ca4CdP structure.

Output
- total magnetization (μB/atom) = 0.001
- raw total energy (eV per atom) = -2.025

a = 6.522 Å, b = 6.522 Å, c = 6.522 Å
α = 60.00°, β = 60.00°, γ = 60.00°
Fractional coordinates of all 6 atoms:
Ca (0.878, 0.374, 0.374)
Ca (0.374, 0.374, 0.878)
Ca (0.374, 0.878, 0.374)
Ca (0.374, 0.374, 0.374)
Cd (0.750, 0.750, 0.750)
P (0.000, 0.000, 0.000)



Record 8
## Ca3CdP (PBE)

Data for a geometry-optimized Ca3CdP structure.

Output
- total magnetization (μB/atom) = 0.000
- raw total energy (eV per atom) = -3.064

a = 7.655 Å, b = 7.655 Å, c = 7.655 Å
α = 61.05°, β = 61.05°, γ = 61.05°
Fractional coordinates of all 10 atoms:
P (0.996, 0.996, 0.996)
P (0.496, 0.496, 0.496)
Ca (0.246, 0.814, 0.679)
Ca (0.314, 0.746, 0.179)
Ca (0.179, 0.314, 0.746)
Ca (0.746, 0.179, 0.314)
Ca (0.814, 0.679, 0.246)
Ca (0.679, 0.246, 0.814)
Cd (0.247, 0.247, 0.247)
Cd (0.747, 0.747, 0.747)



Record 9
## Ca2CdP (PBE)

Data for a geometry-optimized Ca2CdP structure.

Output
- total magnetization (μB/atom) = 0.000
- raw total energy (eV per atom) = -3.262

a = 4.268 Å, b = 4.268 Å, c = 7.900 Å
α = 74.44°, β = 74.44°, γ = 59.91°
Fractional coordinates of all 4 atoms:
P (0.250, 0.250, 0.250)
Ca (0.980, 0.980, 0.061)
Ca (0.520, 0.520, 0.439)
Cd (0.750, 0.750, 0.750)



Record 10
## Ca2CdP (PBE)

Data for a geometry-optimized Ca2CdP structure.

Output
- total magnetization (μB/atom) = 0.000
- raw total energy (eV per atom) = -3.274

a = 6.016 Å, b = 6.016 Å, c = 4.228 Å
α = 90.00°, β = 90.00°, γ = 42.47°
Fractional coordinates of all 4 atoms:
P (0.289, 0.289, 0.125)
Ca (0.022, 0.022, 0.125)
Ca (0.739, 0.739, 0.625)
Cd (0.450, 0.450, 0.625)



Record 11
## Ca3CdP (PBE)

Data for a geometry-optimized Ca3CdP structure.

Output
- total magnetization (μB/atom) = 0.196
- raw total energy (eV per atom) = -3.061

a = 26.045 Å, b = 6.319 Å, c = 10.158 Å
α = 90.00°, β = 158.99°, γ = 90.00°
Site moments in Bohr magnetons follow the coordinates.
Fractional coordinates of all 20 atoms:
P (0.103, 0.250, 0.603)  0.02
P (0.897, 0.750, 0.397)  0.02
P (0.397, 0.750, 0.897)  0.02
P (0.603, 0.250, 0.103)  0.02
Ca (0.250, 0.000, 0.750)  0.10
Ca (0.750, 0.000, 0.250)  0.10
Ca (0.250, 0.500, 0.750)  0.10
Ca (0.750, 0.500, 0.250)  0.10
Ca (0.362, 0.250, 0.362)  0.02
Ca (0.638, 0.750, 0.638)  0.02
Ca (0.138, 0.750, 0.138)  0.02
Ca (0.862, 0.250, 0.862)  0.02
Ca (0.562, 0.750, 0.062)  0.05
Ca (0.438, 0.250, 0.938)  0.05
Ca (0.938, 0.250, 0.438)  0.05
Ca (0.062, 0.750, 0.562)  0.05
Cd (0.436, 0.750, 0.436)  0.07
Cd (0.564, 0.250, 0.564)  0.07
Cd (0.064, 0.250, 0.064)  0.07
Cd (0.936, 0.750, 0.936)  0.07



Record 12
## Ca2Cd2P (PBE)

Data for a geometry-optimized Ca2Cd2P structure.

Output
- total magnetization (μB/atom) = 0.000
- raw total energy (eV per atom) = -2.507

a = 7.436 Å, b = 7.436 Å, c = 4.712 Å
α = 90.00°, β = 90.00°, γ = 90.00°
Fractional coordinates of all 10 atoms:
P (0.000, 0.000, 0.000)
P (0.500, 0.500, 0.000)
Ca (0.175, 0.675, 0.500)
Ca (0.675, 0.825, 0.500)
Ca (0.825, 0.325, 0.500)
Ca (0.325, 0.175, 0.500)
Cd (0.366, 0.866, 0.000)
Cd (0.866, 0.634, 0.000)
Cd (0.634, 0.134, 0.000)
Cd (0.134, 0.366, 0.000)



Number 1: theoretical density 2.9 Mg/m³. Number 2: theoretical density 2.5 Mg/m³. Number 3: theoretical density 2.4 Mg/m³. Number 4: theoretical density 4.2 Mg/m³. Number 5: theoretical density 3.9 Mg/m³. Number 6: theoretical density 3.8 Mg/m³. Number 7: theoretical density 2.6 Mg/m³. Number 8: theoretical density 2.7 Mg/m³. Number 9: theoretical density 3.1 Mg/m³. Number 10: theoretical density 3.6 Mg/m³. Number 11: theoretical density 2.9 Mg/m³. Number 12: theoretical density 4.3 Mg/m³.